Here is an optimized crystal structure of MnZnTc2 from Alexandria. Energies are from PBE-GGA.

Magnetization = 0.5161 μB/atom
DFT formation energy = 128 meV per atom

a b c (Å): 4.8171 4.8171 4.8171
angles (deg): 134.90 134.90 65.68
Closest atoms and distances in Å follow each position.
Positions (direct):
Mn (0.7500, 0.2500, 0.5000)  4 Zn 2.61, 8 Tc 2.74
Tc (0.0000, 0.0000, 0.0000)  4 Tc 2.61, 4 Mn 2.74, 4 Zn 2.74
Tc (0.5000, 0.5000, 0.0000)  4 Tc 2.61, 4 Mn 2.74, 4 Zn 2.74
Zn (0.2500, 0.7500, 0.5000)  4 Mn 2.61, 8 Tc 2.74